Record 1
## K2Li2NpTe4 (PBE)

Data for crystalline K2Li2NpTe4 at its relaxed geometry.

abc: 4.562 8.340 8.543
angles: 109.39 105.49 90.00
Atoms (fractional coordinates):
K  0.138  0.566  0.275
K  0.862  0.434  0.725
Li  0.682  0.990  0.364
Li  0.318  0.010  0.636
Np  0.000  0.000  0.000
Te  0.197  0.184  0.394
Te  0.803  0.816  0.606
Te  0.514  0.761  0.028
Te  0.486  0.239  0.972

Computed properties:
Mass density: 4.74 g/cm³
Space-group type: No. 12
Formation energy (no corrections): -0.95 eV per atom

Record 2
## Pr2Zn3CdAg4 (PBE)

Data for crystalline Pr2Zn3CdAg4 at its relaxed geometry.

abc: 4.236 4.236 12.119
angles: 90.00 90.00 90.00
Atoms (fractional coordinates):
Pr  0.500  0.000  0.239
Pr  0.000  0.500  0.761
Zn  0.000  0.000  0.500
Zn  0.500  0.000  0.865
Zn  0.000  0.500  0.135
Cd  0.500  0.500  0.500
Ag  0.500  0.500  0.000
Ag  0.000  0.000  0.000
Ag  0.500  0.000  0.651
Ag  0.000  0.500  0.349

Computed properties:
Formation energy: -0.2111 eV per atom
Mass density: 7.80 g/cm³
Space-group type: No. 115

Record 3
## VTc2Rh (PBE)

Data for crystalline VTc2Rh at its relaxed geometry.

abc: 3.678 3.678 9.505
angles: 78.84 78.84 90.00
Atoms (fractional coordinates):
Rh  0.000  0.000  0.000
Rh  0.750  0.250  0.500
Tc  0.595  0.125  0.250
Tc  0.155  0.625  0.250
Tc  0.375  0.405  0.750
Tc  0.875  0.845  0.750
V  0.500  0.500  0.000
V  0.250  0.750  0.500

Computed properties:
Formation energy: 0.4319 eV per atom
Mass density: 9.39 g/cm³
Space-group type: No. 122
E above lowest polymorph: 2.22 eV per formula unit

Record 4
## Ac12Co5S (PBE)

Data for crystalline Ac12Co5S at its relaxed geometry.

abc: 7.363 7.363 13.751
angles: 95.14 95.14 119.98
Atoms (fractional coordinates):
Ac  0.200  0.200  0.614
Ac  0.800  0.800  0.386
Ac  0.389  0.389  0.120
Ac  0.611  0.611  0.880
Ac  0.692  0.040  0.120
Ac  0.960  0.308  0.880
Ac  0.040  0.692  0.120
Ac  0.308  0.960  0.880
Ac  0.457  0.129  0.387
Ac  0.129  0.457  0.387
Ac  0.871  0.543  0.613
Ac  0.543  0.871  0.613
Co  0.500  0.500  0.500
Co  0.833  0.167  0.500
Co  0.167  0.833  0.500
Co  0.333  0.667  0.000
Co  0.667  0.333  0.000
S  0.000  0.000  0.000

Computed properties:
Mass density: 7.97 g/cm³
Space-group type: No. 12
Formation energy (no corrections): -0.23 eV per atom

Record 5
## ZrSc2Bi (PBE)

Data for crystalline ZrSc2Bi at its relaxed geometry.

abc: 8.258 8.258 6.579
angles: 51.13 51.13 90.00
Atoms (fractional coordinates):
Sc  0.639  0.125  0.250
Sc  0.111  0.625  0.250
Sc  0.375  0.361  0.750
Sc  0.875  0.889  0.750
Bi  0.000  0.000  0.000
Bi  0.750  0.250  0.500
Zr  0.500  0.500  0.000
Zr  0.250  0.750  0.500

Computed properties:
Formation energy: 0.1547 eV per atom
Mass density: 6.27 g/cm³
Space-group type: No. 122

Record 6
## BaAlAs (PBE)

Data for crystalline BaAlAs at its relaxed geometry.

abc: 5.269 5.269 5.269
angles: 60.00 60.00 60.00
Atoms (fractional coordinates):
As  0.250  0.250  0.250
Ba  0.000  0.000  0.000
Al  0.500  0.500  0.500

Computed properties:
Formation energy: -0.1904 eV per atom
Mass density: 3.84 g/cm³
Space-group type: No. 216

Record 7
## LiAl2Au3 (PBE)

Data for crystalline LiAl2Au3 at its relaxed geometry.

abc: 4.527 7.182 6.225
angles: 90.00 90.00 71.63
Atoms (fractional coordinates):
Li  0.332  0.335  0.000
Li  0.668  0.665  0.000
Al  0.000  0.000  0.000
Al  0.000  0.000  0.500
Al  0.330  0.340  0.500
Al  0.670  0.660  0.500
Au  0.835  0.330  0.751
Au  0.500  0.000  0.251
Au  0.165  0.670  0.249
Au  0.835  0.330  0.249
Au  0.165  0.670  0.751
Au  0.500  0.000  0.749

Computed properties:
Formation energy: -0.4567 eV per atom
Mass density: 11.27 g/cm³
Space-group type: No. 65
E above lowest polymorph: 0.00 eV per formula unit

Record 8
## Na8B13C3 (PBE)

Data for crystalline Na8B13C3 at its relaxed geometry.

abc: 5.272 5.682 8.662
angles: 90.00 90.00 90.00
Atoms (fractional coordinates):
Na  0.002  0.000  0.000
Na  0.002  0.000  0.500
Na  0.499  0.250  0.996
Na  0.499  0.250  0.504
Na  0.002  0.500  0.000
Na  0.002  0.500  0.500
Na  0.497  0.750  0.000
Na  0.497  0.750  0.500
C  0.337  0.500  0.250
C  0.165  0.750  0.750
C  0.337  0.000  0.250
B  0.166  0.250  0.750
B  0.849  0.250  0.250
B  0.180  0.250  0.250
B  0.847  0.250  0.750
B  0.653  0.506  0.750
B  0.634  0.499  0.250
B  0.325  0.512  0.750
B  0.849  0.750  0.250
B  0.180  0.750  0.250
B  0.865  0.750  0.750
B  0.653  0.994  0.750
B  0.634  0.001  0.250
B  0.325  0.988  0.750

Computed properties:
Formation energy: 0.1933 eV per atom
Mass density: 2.31 g/cm³
Space-group type: No. 25
E above lowest polymorph: 0.28 eV per formula unit

Record 9
## Zn2AsPdN (PBE)

Data for crystalline Zn2AsPdN at its relaxed geometry.

abc: 5.021 3.666 5.021
angles: 90.00 90.00 90.00
Atoms (fractional coordinates):
As  0.500  0.500  0.500
Zn  0.000  0.000  0.500
Zn  0.500  0.000  0.000
Pd  0.000  0.000  0.000
N  0.000  0.500  0.000

Computed properties:
Mass density: 5.86 g/cm³
Space-group type: No. 123
Formation energy (no corrections): 0.70 eV per atom

Record 10
## Mg2TlHg (PBE)

Data for crystalline Mg2TlHg at its relaxed geometry.

abc: 3.533 3.536 8.325
angles: 63.24 90.00 90.00
Atoms (fractional coordinates):
Mg  0.000  0.016  0.981
Mg  0.000  0.484  0.519
Tl  0.500  0.250  0.250
Hg  0.500  0.750  0.750

Computed properties:
Formation energy: -0.1336 eV per atom
Mass density: 8.11 g/cm³
Space-group type: No. 10

Record 11
## Zr2MnRu (PBE)

Data for crystalline Zr2MnRu at its relaxed geometry.

abc: 4.495 3.215 5.111
angles: 78.56 90.00 90.00
Atoms (fractional coordinates):
Mn  0.000  0.673  0.455
Ru  0.500  0.577  0.795
Zr  0.000  0.021  0.912
Zr  0.500  0.229  0.338

Computed properties:
Formation energy: -0.1719 eV per atom
Mass density: 7.76 g/cm³
Space-group type: No. 6

Record 12
## HfMnSeBr2 (PBE)

Data for crystalline HfMnSeBr2 at its relaxed geometry.

abc: 5.318 5.318 5.163
angles: 90.00 90.00 90.00
Atoms (fractional coordinates):
Mn  0.500  0.500  0.500
Hf  0.000  0.000  0.000
Se  0.000  0.000  0.500
Br  0.000  0.500  0.000
Br  0.500  0.000  0.000

Computed properties:
Mass density: 5.37 g/cm³
Space-group type: No. 123
E above lowest polymorph: 0.00 eV per formula unit
Formation energy (no corrections): -0.22 eV per atom

Record 13
## PaGaTe2 (PBE)

Data for crystalline PaGaTe2 at its relaxed geometry.

abc: 4.110 4.110 8.788
angles: 76.48 76.48 60.00
Atoms (fractional coordinates):
Pa  0.667  0.667  0.000
Ga  0.501  0.501  0.498
Te  0.079  0.079  0.762
Te  0.254  0.254  0.239

Computed properties:
Mass density: 7.46 g/cm³
Space-group type: No. 160
Formation energy (no corrections): -0.48 eV per atom

Record 14
## Tm4InPt2 (PBE)

Data for crystalline Tm4InPt2 at its relaxed geometry.

abc: 4.707 4.707 9.874
angles: 76.21 76.21 60.00
Atoms (fractional coordinates):
Tm  0.388  0.388  0.837
Tm  0.202  0.202  0.394
Tm  0.798  0.798  0.606
Tm  0.612  0.612  0.163
In  0.000  0.000  0.000
Pt  0.100  0.100  0.700
Pt  0.900  0.900  0.300

Computed properties:
Formation energy: -0.8023 eV per atom
Mass density: 10.76 g/cm³
Space-group type: No. 166

Record 15
## Ho14ScTl (PBE)

Data for crystalline Ho14ScTl at its relaxed geometry.

abc: 6.959 6.959 9.897
angles: 90.00 90.00 90.00
Atoms (fractional coordinates):
Ho  0.375  0.625  0.500
Ho  0.875  0.125  0.500
Ho  0.875  0.625  0.000
Ho  0.875  0.625  0.500
Ho  0.375  0.125  0.000
Ho  0.375  0.125  0.500
Ho  0.623  0.873  0.754
Ho  0.623  0.873  0.246
Ho  0.127  0.377  0.754
Ho  0.127  0.377  0.246
Ho  0.127  0.873  0.754
Ho  0.127  0.873  0.246
Ho  0.623  0.377  0.754
Ho  0.623  0.377  0.246
Sc  0.375  0.625  0.000
Tl  0.875  0.125  0.000

Computed properties:
Formation energy: -0.0110 eV per atom
Mass density: 8.86 g/cm³
Space-group type: No. 123

Record 16
## Dy2HoErTl4 (PBE)

Data for crystalline Dy2HoErTl4 at its relaxed geometry.

abc: 5.353 5.353 9.287
angles: 73.25 73.25 60.00
Atoms (fractional coordinates):
Dy  0.750  0.750  0.750
Dy  0.250  0.250  0.250
Ho  0.000  0.000  0.000
Er  0.500  0.500  0.500
Tl  0.375  0.375  0.874
Tl  0.875  0.875  0.375
Tl  0.125  0.125  0.625
Tl  0.625  0.625  0.126

Computed properties:
Formation energy: -0.3285 eV per atom
Mass density: 11.27 g/cm³
Space-group type: No. 166

Record 17
## LiZr2Ta (PBE)

Data for crystalline LiZr2Ta at its relaxed geometry.

abc: 4.790 4.790 4.790
angles: 60.00 60.00 60.00
Atoms (fractional coordinates):
Li  0.500  0.500  0.500
Ta  0.750  0.750  0.750
Zr  0.000  0.000  0.000
Zr  0.250  0.250  0.250

Computed properties:
Formation energy: 0.3739 eV per atom
Mass density: 7.91 g/cm³
Space-group type: No. 216
E above lowest polymorph: 0.92 eV per formula unit

| no. | electronic total energy (eV/atom) |
| --- | --- |
| 1 | -4.458 |
| 2 | -2.781 |
| 3 | -8.869 |
| 4 | -5.171 |
| 5 | -6.118 |
| 6 | -3.629 |
| 7 | -3.662 |
| 8 | -5.016 |
| 9 | -3.439 |
| 10 | -1.598 |
| 11 | -9.057 |
| 12 | -5.416 |
| 13 | -5.181 |
| 14 | -5.475 |
| 15 | -4.560 |
| 16 | -3.805 |
| 17 | -7.342 |